1.
# Sm4BCl2O | the Alexandria database | PBE-GGA | optimized geometry
# N(E_F) = 2.414 states/eV/cell
# V = 21.17 Å³/atom
# ΔE_f (raw) = -1.523 eV per atom
# mass density = 6.855 g/cm³
data_Sm4BCl2O
_chemical_formula_sum 'Sm4 B1 Cl2 O1'
_cell_length_a 6.384
_cell_length_b 3.784
_cell_length_c 7.366
_cell_angle_alpha 90.00
_cell_angle_beta 107.84
_cell_angle_gamma 90.00
_symmetry_space_group_name_H-M 'P 1 2/m 1'
_symmetry_Int_Tables_number 10
loop_
_symmetry_equiv_pos_as_xyz
'x,y,z'
'-x,-y,-z'
'-x,y,-z'
'x,-y,z'
loop_
_atom_site_label
_atom_site_fract_x
_atom_site_fract_y
_atom_site_fract_z
Sm1 0.228 0.000 0.191
Sm2 0.259 0.500 0.806
B1 0.500 0.000 0.000
Cl1 0.000 0.000 0.500
Cl2 0.500 0.500 0.500
O1 0.000 0.500 0.000

2.
# Na2Br3Cl6 | the Alexandria database | PBE-GGA | optimized geometry
# N(E_F) = 60.731 states/eV/cell
# V = 32.23 Å³/atom
# ΔE_f (raw) = -0.632 eV per atom
# mass density = 2.335 g/cm³
data_Na2Br3Cl6
_chemical_formula_sum 'Na8 Br12 Cl24'
_cell_length_a 12.696
_cell_length_b 7.363
_cell_length_c 15.748
_cell_angle_alpha 90.00
_cell_angle_beta 105.59
_cell_angle_gamma 90.00
_symmetry_space_group_name_H-M 'C 1 2/c 1'
_symmetry_Int_Tables_number 15
loop_
_symmetry_equiv_pos_as_xyz
'x,y,z'
'-x,-y,-z'
'-x,y,-z+1/2'
'x,-y,z+1/2'
'x+1/2,y+1/2,z'
'-x+1/2,-y+1/2,-z'
'-x+1/2,y+1/2,-z+1/2'
'x+1/2,-y+1/2,z+1/2'
loop_
_atom_site_label
_atom_site_fract_x
_atom_site_fract_y
_atom_site_fract_z
Na1 0.084 0.250 0.003
Br1 0.000 0.078 0.250
Br2 0.164 0.415 0.750
Cl1 0.057 0.083 0.407
Cl2 0.116 0.411 0.593
Cl3 0.217 0.424 0.907

3.
# LaZnRu | the Alexandria database | PBE-GGA | optimized geometry
# N(E_F) = 8.223 states/eV/cell
# formation enthalpy at 0 K = -265 meV/atom
# V = 21.07 Å³/atom
# mass density = 8.024 g/cm³
data_LaZnRu
_chemical_formula_sum 'La4 Zn4 Ru4'
_cell_length_a 7.485
_cell_length_b 4.833
_cell_length_c 6.988
_cell_angle_alpha 90.00
_cell_angle_beta 90.00
_cell_angle_gamma 90.00
_symmetry_space_group_name_H-M 'P n m a'
_symmetry_Int_Tables_number 62
loop_
_symmetry_equiv_pos_as_xyz
'x,y,z'
'-x,-y,-z'
'-x+1/2,-y,z+1/2'
'x+1/2,y,-z+1/2'
'x+1/2,-y+1/2,-z+1/2'
'-x+1/2,y+1/2,z+1/2'
'-x,y+1/2,-z'
'x,-y+1/2,z'
loop_
_atom_site_label
_atom_site_fract_x
_atom_site_fract_y
_atom_site_fract_z
La1 0.034 0.250 0.203
Zn1 0.198 0.250 0.629
Ru1 0.143 0.750 0.473